Crystalline MgZnPtPb at its relaxed geometry, computed with PBE-GGA.

Its magnetic moment is 0.001 μB per formula unit. The calculation puts the polymorph energy (0 for the lowest one) at 0.0 meV per atom. The value obtained for the energy is -0.2425 Ry/atom. Its volume is 19.59 A^3/atom.

Lattice parameters (Å, degrees): 4.8036 4.8036 4.8036 60.00 60.00 60.00
Element x y z (fractional)
1 Mg 0.7500 0.7500 0.7500
2 Pb 0.2500 0.2500 0.2500
3 Pt 0.5000 0.5000 0.5000
4 Zn 0.0000 0.0000 0.0000

=====

Crystalline NbB4Pd at its relaxed geometry, computed with PBE-GGA.

Its magnetic moment is 0.000 μB per formula unit. The calculation puts the polymorph energy (0 for the lowest one) at 52.3 meV per atom. The value obtained for the energy is -0.5289 Ry/atom. Its volume is 9.54 A^3/atom.

Lattice parameters (Å, degrees): 4.6956 4.6956 4.6956 142.15 112.13 80.42
Element x y z (fractional)
1 B 0.5609 0.2386 0.3224
2 B 0.0838 0.7614 0.3224
3 B 0.9162 0.2386 0.6776
4 B 0.4391 0.7614 0.6776
5 Nb 0.5000 0.5000 0.0000
6 Pd 0.0000 0.0000 0.0000